Compound: Dy3HfAl8
Source: Alexandria via LeMat-Bulk
Functional: PBE
Structure: optimized geometry

Properties
Space-group type: No. 160
Density of states at the Fermi level, states/eV per cell: 7.06
Energy of formation from the pure elements, eV/atom: -0.482

Cell: 5.4823 5.4823 9.5226 Å, 73.27 73.27 60.00°
Element x y z (fractional)
Dy1 0.9991 0.9991 0.0026
Dy2 0.3750 0.3750 0.8749
Dy3 0.5006 0.5006 0.4982
Al1 0.9351 0.4361 0.1927
Al2 0.9385 0.4409 0.6821
Al3 0.4361 0.4361 0.1927
Al4 0.6873 0.6873 0.9381
Al5 0.1878 0.1878 0.4367
Al6 0.4361 0.9351 0.1927
Al7 0.9385 0.9385 0.6821
Al8 0.4409 0.9385 0.6821
Hf1 0.8750 0.8750 0.3750

Compound: DyHfAl4
Source: Alexandria via LeMat-Bulk
Functional: PBE
Structure: optimized geometry

Properties
Space-group type: No. 216
Density of states at the Fermi level, states/eV per cell: 2.33
Energy of formation from the pure elements, eV/atom: -0.452

Cell: 5.4170 5.4170 5.4170 Å, 60.00 60.00 60.00°
Element x y z (fractional)
Hf1 0.0000 0.0000 0.0000
Al1 0.6254 0.1239 0.6254
Al2 0.6254 0.6254 0.6254
Al3 0.6254 0.6254 0.1239
Al4 0.1239 0.6254 0.6254
Dy1 0.2500 0.2500 0.2500

Compound: DyHfAl2
Source: Alexandria via LeMat-Bulk
Functional: PBE
Structure: optimized geometry

Properties
Space-group type: No. 166
Density of states at the Fermi level, states/eV per cell: 4.38
Energy of formation from the pure elements, eV/atom: -0.087

Cell: 3.2948 3.2948 9.6123 Å, 80.13 80.13 60.00°
Element x y z (fractional)
Dy1 0.5000 0.5000 0.5000
Al1 0.2547 0.2547 0.2360
Al2 0.7453 0.7453 0.7640
Hf1 0.0000 0.0000 0.0000

Compound: Dy2HfAl3
Source: Alexandria via LeMat-Bulk
Functional: PBE
Structure: optimized geometry

Properties
Space-group type: No. 63
Density of states at the Fermi level, states/eV per cell: 8.40
Energy of formation from the pure elements, eV/atom: -0.128

Cell: 5.1370 7.4916 7.4916 Å, 102.19 90.00 90.00°
Element x y z (fractional)
Dy1 0.7500 0.8517 0.5817
Dy2 0.2500 0.1483 0.4183
Dy3 0.2500 0.4183 0.1483
Dy4 0.7500 0.5817 0.8517
Hf1 0.7500 0.0907 0.0907
Hf2 0.2500 0.9093 0.9093
Al1 0.0000 0.7913 0.2087
Al2 0.0000 0.2087 0.7913
Al3 0.7500 0.4139 0.4139
Al4 0.5000 0.7913 0.2087
Al5 0.2500 0.5861 0.5861
Al6 0.5000 0.2087 0.7913

Compound: DyHf2Al9
Source: Alexandria via LeMat-Bulk
Functional: PBE
Structure: optimized geometry

Properties
Space-group type: No. 166
Density of states at the Fermi level, states/eV per cell: 6.58
Energy of formation from the pure elements, eV/atom: -0.280

Cell: 5.3467 5.3467 9.2867 Å, 73.27 73.27 60.00°
Element x y z (fractional)
Hf1 0.1450 0.1450 0.5650
Hf2 0.8550 0.8550 0.4350
Al1 0.4102 0.4102 0.2606
Al2 0.4102 0.9190 0.2606
Al3 0.3341 0.3341 0.9977
Al4 0.5898 0.5898 0.7394
Al5 0.9190 0.4102 0.2606
Al6 0.5000 0.5000 0.5000
Al7 0.0810 0.5898 0.7394
Al8 0.6659 0.6659 0.0023
Al9 0.5898 0.0810 0.7394
Dy1 0.0000 0.0000 0.0000

Compound: Dy3HfAl8
Source: Alexandria via LeMat-Bulk
Functional: PBE
Structure: optimized geometry

Properties
Space-group type: No. 156
Density of states at the Fermi level, states/eV per cell: 7.23
Energy of formation from the pure elements, eV/atom: -0.469

Cell: 5.4581 5.4581 9.0714 Å, 90.00 90.00 120.00°
Element x y z (fractional)
Al1 0.6754 0.8377 0.2560
Al2 0.3333 0.6667 0.5007
Al3 0.1623 0.3246 0.2560
Al4 0.5037 0.0074 0.7435
Al5 0.1623 0.8377 0.2560
Al6 0.3333 0.6667 0.9983
Al7 0.9926 0.4963 0.7435
Al8 0.5037 0.4963 0.7435
Dy1 0.6667 0.3333 0.0687
Dy2 0.0000 0.0000 0.9305
Dy3 0.6667 0.3333 0.4357
Hf1 0.0000 0.0000 0.5679